FeSbCl8O8 | PBE+U | relaxed

Properties
Symmetry = P4/mmm (123)
Energy = -0.2547 Ry per atom
DOS at the Fermi energy = 31.38 states/eV/cell

Cell lengths 8.923, 8.923, 7.780 Å; angles 90.00, 90.00, 90.00 degrees
Atoms (fractional coordinates):
Fe1 0.000 0.000 0.000
Sb1 0.500 0.500 0.500
Cl1 0.000 0.000 0.289
Cl2 0.000 0.000 0.711
Cl3 0.309 0.309 0.500
Cl4 0.309 0.691 0.500
Cl5 0.500 0.500 0.194
Cl6 0.500 0.500 0.806
Cl7 0.691 0.309 0.500
Cl8 0.691 0.691 0.500
O1 0.000 0.202 0.000
O2 0.000 0.500 0.422
O3 0.000 0.500 0.578
O4 0.000 0.798 0.000
O5 0.202 0.000 0.000
O6 0.500 0.000 0.422
O7 0.500 0.000 0.578
O8 0.798 0.000 0.000